## LuNi2Sn (GGA-PBE)

Data for crystalline LuNi2Sn at its relaxed geometry.

The structure belongs to space group F-43m (No. 216); the cell edges are 6.474, 6.474 and 6.474 Å and the angles 90.00°, 90.00° and 90.00°. The asymmetric unit holds Lu at (0.000, 0.000, 0.000), Ni at (0.000, 0.000, 0.500), Ni at (0.250, 0.250, 0.250) and Sn at (0.250, 0.250, 0.750).

The electronic total energy comes out at -20.3 eV per formula unit.

=====

## LuTaNi2Sn2 (GGA-PBE)

Data for crystalline LuTaNi2Sn2 at its relaxed geometry.

The structure belongs to space group Pmn2_1 (No. 31); the cell edges are 4.318, 8.673 and 6.135 Å and the angles 90.00°, 90.00° and 90.00°. The asymmetric unit holds Lu at (0.000, 0.122, 0.000), Ta at (0.000, 0.624, 0.008), Ni at (0.000, 0.387, 0.264), Ni at (0.000, 0.857, 0.240), Sn at (0.000, 0.131, 0.497) and Sn at (0.000, 0.622, 0.513).

The electronic total energy comes out at -38.5 eV per formula unit.

=====

## LuTcNiSn (GGA-PBE)

Data for crystalline LuTcNiSn at its relaxed geometry.

The structure belongs to space group F-43m (No. 216); the cell edges are 6.590, 6.590 and 6.590 Å and the angles 90.00°, 90.00° and 90.00°. The asymmetric unit holds Lu at (0.000, 0.000, 0.000), Tc at (0.250, 0.250, 0.750), Ni at (0.000, 0.000, 0.500) and Sn at (0.250, 0.250, 0.250).

The electronic total energy comes out at -23.4 eV per formula unit. For the offset from the most stable computed form, the calculation gives 191 kJ/mol of formula units.

=====

## LuTcNiSn (GGA-PBE)

Data for crystalline LuTcNiSn at its relaxed geometry.

The structure belongs to space group F-43m (No. 216); the cell edges are 6.507, 6.507 and 6.507 Å and the angles 90.00°, 90.00° and 90.00°. The asymmetric unit holds Lu at (0.000, 0.000, 0.000), Tc at (0.250, 0.250, 0.250), Ni at (0.250, 0.250, 0.750) and Sn at (0.000, 0.000, 0.500).

The electronic total energy comes out at -25.4 eV per formula unit. For the offset from the most stable computed form, the calculation gives 0 kJ/mol of formula units.

=====

## TmLuNi4Sn2 (GGA-PBE)

Data for crystalline TmLuNi4Sn2 at its relaxed geometry.

The structure belongs to space group P-3m1 (No. 164); the cell edges are 4.4945, 4.4945 and 7.7010 Å and the angles 90.00°, 90.00° and 120.00°. The asymmetric unit holds Tm at (0.0000, 0.0000, 0.0000), Lu at (0.0000, 0.0000, 0.5000), Ni at (0.3333, 0.6667, 0.0938), Ni at (0.3333, 0.6667, 0.4068) and Sn at (0.3333, 0.6667, 0.7494).

The electronic total energy comes out at -43.4 eV per formula unit. For the offset from the most stable computed form, the calculation gives 34 kJ/mol of formula units.

=====

## TmLuNi4Sn2 (GGA-PBE)

Data for crystalline TmLuNi4Sn2 at its relaxed geometry.

The structure belongs to space group P-6m2 (No. 187); the cell edges are 4.3242, 4.3242 and 8.4792 Å and the angles 90.00°, 90.00° and 120.00°. The asymmetric unit holds Tm at (0.0000, 0.0000, 0.0000), Lu at (0.6667, 0.3333, 0.5000), Ni at (0.0000, 0.0000, 0.3356), Ni at (0.6667, 0.3333, 0.1649) and Sn at (0.3333, 0.6667, 0.2502).

The electronic total energy comes out at -43.7 eV per formula unit. For the offset from the most stable computed form, the calculation gives 0 kJ/mol of formula units.

=====

## YLuNiSn (GGA-PBE)

Data for crystalline YLuNiSn at its relaxed geometry.

The structure belongs to space group F-43m (No. 216); the cell edges are 7.077, 7.077 and 7.077 Å and the angles 90.00°, 90.00° and 90.00°. The asymmetric unit holds Y at (0.000, 0.000, 0.000), Lu at (0.250, 0.250, 0.250), Ni at (0.250, 0.250, 0.750) and Sn at (0.000, 0.000, 0.500).

The electronic total energy comes out at -20.8 eV per formula unit.

=====

## LuZnNiSn (GGA-PBE)

Data for crystalline LuZnNiSn at its relaxed geometry.

The structure belongs to space group F-43m (No. 216); the cell edges are 6.647, 6.647 and 6.647 Å and the angles 90.00°, 90.00° and 90.00°. The asymmetric unit holds Lu at (0.000, 0.000, 0.000), Zn at (0.250, 0.250, 0.750), Ni at (0.000, 0.000, 0.500) and Sn at (0.250, 0.250, 0.250).

The electronic total energy comes out at -16.2 eV per formula unit.

=====

## SrLu2Ni (GGA-PBE)

Data for crystalline SrLu2Ni at its relaxed geometry.

The structure belongs to space group F-43m (No. 216); the cell edges are 7.514, 7.514 and 7.514 Å and the angles 90.00°, 90.00° and 90.00°. The asymmetric unit holds Sr at (0.000, 0.000, 0.000), Lu at (0.000, 0.000, 0.500), Lu at (0.250, 0.250, 0.250) and Ni at (0.250, 0.250, 0.750).

The electronic total energy comes out at -14.7 eV per formula unit.

=====

## SrLuNi (GGA-PBE)

Data for crystalline SrLuNi at its relaxed geometry.

The structure belongs to space group F-43m (No. 216); the cell edges are 6.921, 6.921 and 6.921 Å and the angles 90.00°, 90.00° and 90.00°. The asymmetric unit holds Sr at (0.000, 0.000, 0.000), Lu at (0.000, 0.000, 0.500) and Ni at (0.250, 0.250, 0.750).

The electronic total energy comes out at -11.5 eV per formula unit. For the offset from the most stable computed form, the calculation gives 0 kJ/mol of formula units.

=====

## LuTaZnNi (GGA-PBE)

Data for crystalline LuTaZnNi at its relaxed geometry.

The structure belongs to space group F-43m (No. 216); the cell edges are 6.498, 6.498 and 6.498 Å and the angles 90.00°, 90.00° and 90.00°. The asymmetric unit holds Lu at (0.000, 0.000, 0.000), Ta at (0.250, 0.250, 0.250), Zn at (0.000, 0.000, 0.500) and Ni at (0.250, 0.250, 0.750).

The electronic total energy comes out at -21.8 eV per formula unit. For the formation energy, the calculation gives 0.343 eV/atom.

=====

## TbLuNi (GGA-PBE)

Data for crystalline TbLuNi at its relaxed geometry.

The structure belongs to space group F-43m (No. 216); the cell edges are 6.629, 6.629 and 6.629 Å and the angles 90.00°, 90.00° and 90.00°. The asymmetric unit holds Tb at (0.000, 0.000, 0.000), Lu at (0.000, 0.000, 0.500) and Ni at (0.250, 0.250, 0.750).

The electronic total energy comes out at -15.3 eV per formula unit. For the offset from the most stable computed form, the calculation gives 0 kJ/mol of formula units. For the formation energy, the calculation gives -0.188 eV/atom.